Material: CaAg2
Method: DFT, PBE
State: optimized geometry

Magnetization ... 0.00 μB/atom
E_tot ... -2.80 eV/atom
N(E_F) ... 5.79 states/eV per cell

a b c (Å): 10.4563 4.8212 5.8041
angles (deg): 90.00 100.73 90.00
Closest atoms and distances in Å follow each position.
Positions (direct):
1 Ca 0.1124 0.0000 0.3081  9 Ag 3.08-3.41
2 Ca 0.3876 0.5000 0.6919  9 Ag 3.08-3.41
3 Ca 0.6124 0.5000 0.3081  9 Ag 3.08-3.41
4 Ca 0.8876 0.0000 0.6919  9 Ag 3.08-3.41
5 Ag 0.0873 0.5000 0.7140  4 Ag 2.79-2.89
6 Ag 0.2245 0.0000 0.8539  5 Ag 2.85-2.94, 2 Ca 3.08-3.17
7 Ag 0.2755 0.5000 0.1461  5 Ag 2.85-2.94, 2 Ca 3.08-3.17
8 Ag 0.4127 0.0000 0.2860  4 Ag 2.79-2.89
9 Ag 0.5873 0.0000 0.7140  4 Ag 2.79-2.89
10 Ag 0.7245 0.5000 0.8539  5 Ag 2.85-2.94, 2 Ca 3.08-3.17
11 Ag 0.7755 0.0000 0.1461  5 Ag 2.85-2.94, 2 Ca 3.08-3.17
12 Ag 0.9127 0.5000 0.2860  4 Ag 2.79-2.89